A geometry-optimized BaGaTe2 structure. Source: Alexandria, functional PBE.

Calculated values
Its formation energy from raw total energies is -943 meV per atom. The calculation puts the density of states at the Fermi level at 0.3 states/eV/f.u.

Unit cell a=8.4965 b=9.4730 c=8.6659 alpha=90.00 beta=111.62 gamma=90.00
With the nearest neighbours (Å) after each atom.
Space group P2_1/c (No. 14)
One atom of each set of equivalent atoms:
Ba 0.2377 0.1332 0.4840 [4 per cell]  6 Te 3.50-3.56
Ga 0.3069 0.6986 0.6736 [4 per cell]  4 Te 2.80-2.89
Te 0.0854 0.7132 0.8591 [4 per cell]  2 Ga 2.81-2.89
Te 0.4618 0.0777 0.2201 [4 per cell]  2 Ga 2.80-2.89